No. 1
The following is a PBE-GGA calculation of a relaxed AcLaNd2 crystal, from Alexandria via LeMat-Bulk.

Unit cell a=3.680 b=3.680 c=13.229 alpha=82.00 beta=82.00 gamma=60.00
Element x y z (fractional)
Ac 0.500 0.500 0.500
Nd 0.088 0.088 0.735
Nd 0.912 0.912 0.265
La 0.000 0.000 0.000

Results
formation energy from the elements: 169 meV per atom
space group: R-3m
polymorph energy (0 for the lowest one): 0.1519 eV per atom

---

No. 2
The following is a PBE-GGA calculation of a relaxed RbPd3C crystal, from Alexandria via LeMat-Bulk.

Unit cell a=5.220 b=5.220 c=5.220 alpha=90.00 beta=90.00 gamma=90.00
Each line ends with the local moment (μB).
Element x y z (fractional)
C 0.500 0.500 0.500  0.81
Rb 0.000 0.000 0.000  0.02
Pd 0.000 0.500 0.000  -0.01
Pd 0.000 0.000 0.500  -0.01
Pd 0.500 0.000 0.000  0.03

Results
formation energy from the elements: 2785 meV per atom
space group: Pm-3m
polymorph energy (0 for the lowest one): 2.3190 eV per atom

---

No. 3
The following is a PBE-GGA calculation of a relaxed MnFe2Hg crystal, from Alexandria via LeMat-Bulk.

Unit cell a=8.909 b=8.909 c=8.909 alpha=17.81 beta=17.81 gamma=17.81
Each line ends with the local moment (μB).
Element x y z (fractional)
Fe 0.009 0.009 0.009  2.38
Fe 0.491 0.491 0.491  2.38
Hg 0.250 0.250 0.250  -0.02
Mn 0.750 0.750 0.750  -2.55

Results
formation energy from the elements: 496 meV per atom
space group: R-3m

---

No. 4
The following is a PBE-GGA calculation of a relaxed Mg5TlPd4 crystal, from Alexandria via LeMat-Bulk.

Unit cell a=3.205 b=3.205 c=17.391 alpha=90.00 beta=90.00 gamma=90.00
Element x y z (fractional)
Mg 0.500 0.500 0.139
Mg 0.500 0.500 0.319
Mg 0.500 0.500 0.500
Mg 0.500 0.500 0.681
Mg 0.500 0.500 0.861
Tl 0.000 0.000 0.000
Pd 0.000 0.000 0.227
Pd 0.000 0.000 0.410
Pd 0.000 0.000 0.590
Pd 0.000 0.000 0.773

Results
formation energy from the elements: -601 meV per atom
space group: P4/mmm